Entry 1:
! TaNbPb2 (GGA-PBE, relaxed); values from VASP
&SYSTEM
  ibrav = 0, nat = 8, ntyp = 3
/
ATOMIC_SPECIES
Ta 180.95 Ta.upf
Nb 92.91 Nb.upf
Pb 207.20 Pb.upf
CELL_PARAMETERS angstrom
-3.932 3.932 3.055
3.932 -3.932 3.055
3.932 3.932 -3.055
ATOMIC_POSITIONS angstrom
Ta 0.000 0.000 0.000
Ta 0.000 3.932 1.527
Nb 3.932 0.000 1.527
Nb 0.000 0.000 3.055
Pb 1.966 1.954 -0.764
Pb 1.978 -1.966 3.819
Pb 1.966 1.978 2.291
Pb 1.954 5.897 0.764
! DOS(E_F)   9.03 states/eV per cell
! ΔH_f (0 K)   0.95 eV per atom

---

Entry 2:
! La3Y2Cd2 (GGA-PBE, relaxed); values from VASP
&SYSTEM
  ibrav = 0, nat = 7, ntyp = 3
/
ATOMIC_SPECIES
La 138.91 La.upf
Y 88.91 Y.upf
Cd 112.41 Cd.upf
CELL_PARAMETERS angstrom
2.611 -11.728 0.000
2.611 11.728 0.000
0.000 0.000 3.558
ATOMIC_POSITIONS angstrom
La 0.000 0.000 0.000
La 2.611 8.363 0.000
La 2.611 -8.363 0.000
Y 2.611 4.928 1.779
Y 2.611 -4.928 1.779
Cd 2.611 1.626 1.779
Cd 2.611 -1.626 1.779
! DOS(E_F)   8.30 states/eV per cell
! ΔH_f (0 K)   -0.07 eV per atom

---

Entry 3:
! PuHfMg (GGA-PBE, relaxed); values from VASP
&SYSTEM
  ibrav = 0, nat = 3, ntyp = 3
/
ATOMIC_SPECIES
Pu 244.00 Pu.upf
Hf 178.49 Hf.upf
Mg 24.30 Mg.upf
CELL_PARAMETERS angstrom
-1.567 1.567 7.186
1.567 -1.567 7.186
1.567 1.567 -7.186
ATOMIC_POSITIONS angstrom
Pu 0.000 0.000 0.000
Hf 0.000 0.000 4.861
Mg 0.000 0.000 9.755
! DOS(E_F)   6.95 states/eV per cell
! ΔH_f (0 K)   0.14 eV per atom

---

Entry 4:
! Th4RuAu3 (GGA-PBE, relaxed); values from VASP
&SYSTEM
  ibrav = 0, nat = 16, ntyp = 3
/
ATOMIC_SPECIES
Th 232.04 Th.upf
Ru 101.07 Ru.upf
Au 196.97 Au.upf
CELL_PARAMETERS angstrom
7.854 0.000 0.000
0.000 8.874 0.000
-2.543 0.000 6.303
ATOMIC_POSITIONS angstrom
Th 1.734 1.008 0.009
Th 0.462 7.866 3.160
Th 0.617 3.186 3.071
Th -0.655 5.688 6.222
Th 5.966 3.186 0.080
Th 4.694 5.688 3.232
Th 4.849 1.008 3.142
Th 3.577 7.866 6.294
Ru -0.636 1.144 1.576
Ru -1.907 7.730 4.727
Au -1.907 3.372 4.727
Au -0.636 5.502 1.576
Au 2.020 1.082 4.727
Au 3.291 3.338 1.576
Au 2.020 5.536 4.727
Au 3.291 7.792 1.576
! DOS(E_F)   13.41 states/eV per cell
! ΔH_f (0 K)   -0.55 eV per atom

---

Entry 5:
! ScIn8Pd6 (GGA-PBE, relaxed); values from VASP
&SYSTEM
  ibrav = 0, nat = 15, ntyp = 3
/
ATOMIC_SPECIES
Sc 44.96 Sc.upf
In 114.82 In.upf
Pd 106.42 Pd.upf
CELL_PARAMETERS angstrom
3.998 2.308 5.572
-3.998 2.308 5.572
0.000 -4.616 5.572
ATOMIC_POSITIONS angstrom
Sc 0.000 0.000 0.000
In -1.275 -2.360 7.553
In -2.681 -0.076 9.163
In 0.000 0.000 5.556
In -1.407 2.284 7.553
In 1.407 -2.284 9.163
In 0.000 0.000 11.160
In 2.681 0.076 7.553
In 1.275 2.360 9.163
Pd -2.671 0.008 6.395
Pd -1.343 -2.309 10.320
Pd 1.328 -2.317 6.395
Pd -1.328 2.317 10.320
Pd 1.343 2.309 6.395
Pd 2.671 -0.008 10.320
! DOS(E_F)   5.07 states/eV per cell
! ΔH_f (0 K)   -0.53 eV per atom

---

Entry 6:
! GeAsPt2 (GGA-PBE, relaxed); values from VASP
&SYSTEM
  ibrav = 0, nat = 8, ntyp = 3
/
ATOMIC_SPECIES
Ge 72.64 Ge.upf
As 74.92 As.upf
Pt 195.08 Pt.upf
CELL_PARAMETERS angstrom
-2.885 2.885 5.334
2.885 -2.885 5.334
2.885 2.885 -5.334
ATOMIC_POSITIONS angstrom
Ge 0.000 0.000 0.000
Ge 0.000 2.885 2.667
As 2.885 0.000 2.667
As 0.000 0.000 5.334
Pt 1.442 -1.420 4.000
Pt 1.465 1.442 1.333
Pt 1.442 4.305 -1.333
Pt 1.420 1.442 6.667
! DOS(E_F)   4.52 states/eV per cell
! ΔH_f (0 K)   -0.19 eV per atom

---

Entry 7:
! SbHI2F (GGA-PBE, relaxed); values from VASP
&SYSTEM
  ibrav = 0, nat = 5, ntyp = 4
/
ATOMIC_SPECIES
Sb 121.76 Sb.upf
H 1.01 H.upf
I 126.90 I.upf
F 19.00 F.upf
CELL_PARAMETERS angstrom
5.402 0.000 0.000
0.000 5.402 0.000
0.000 0.000 3.915
ATOMIC_POSITIONS angstrom
Sb 0.000 0.000 0.000
H 0.000 0.000 1.957
I 0.000 2.701 1.957
I 2.701 0.000 1.957
F 2.701 2.701 0.000
! DFT total energy   -0.170 Ry per atom
! DOS(E_F)   4.57 states/eV per cell

---

Entry 8:
! Nd2TlH (GGA-PBE, relaxed); values from VASP
&SYSTEM
  ibrav = 0, nat = 4, ntyp = 3
/
ATOMIC_SPECIES
Nd 144.24 Nd.upf
Tl 204.38 Tl.upf
H 1.01 H.upf
CELL_PARAMETERS angstrom
3.224 -1.851 0.000
3.224 1.851 0.000
-2.164 0.000 8.173
ATOMIC_POSITIONS angstrom
Nd 0.000 0.000 0.000
Nd -0.035 0.000 5.313
Tl 4.308 0.000 2.655
H 2.134 0.000 6.758
! DFT total energy   -0.301 Ry per atom
! DOS(E_F)   3.33 states/eV per cell

---

Entry 9:
! Sr2TlBi2 (GGA-PBE, relaxed); values from VASP
&SYSTEM
  ibrav = 0, nat = 5, ntyp = 3
/
ATOMIC_SPECIES
Sr 87.62 Sr.upf
Tl 204.38 Tl.upf
Bi 208.98 Bi.upf
CELL_PARAMETERS angstrom
-3.322 3.322 4.762
3.322 -3.322 4.762
3.322 3.322 -4.762
ATOMIC_POSITIONS angstrom
Sr 3.322 0.000 2.381
Sr 0.000 3.322 2.381
Tl 0.000 0.000 0.000
Bi 0.000 0.000 3.139
Bi 0.000 0.000 6.386
! DOS(E_F)   3.64 states/eV per cell
! ΔH_f (0 K)   -0.38 eV per atom

---

Entry 10:
! EuHoGa (GGA-PBE, relaxed); values from VASP
&SYSTEM
  ibrav = 0, nat = 3, ntyp = 3
/
ATOMIC_SPECIES
Eu 151.96 Eu.upf
Ho 164.93 Ho.upf
Ga 69.72 Ga.upf
CELL_PARAMETERS angstrom
3.681 0.000 0.000
-1.840 3.188 0.000
0.000 0.000 7.663
ATOMIC_POSITIONS angstrom
Eu 0.000 0.000 0.000
Ho 1.840 1.063 3.221
Ga 0.000 2.125 5.331
! DOS(E_F)   2.48 states/eV per cell
! ΔH_f (0 K)   -0.18 eV per atom

---

Entry 11:
! YErTlRh (GGA-PBE, relaxed); values from VASP
&SYSTEM
  ibrav = 0, nat = 4, ntyp = 4
/
ATOMIC_SPECIES
Y 88.91 Y.upf
Er 167.26 Er.upf
Tl 204.38 Tl.upf
Rh 102.91 Rh.upf
CELL_PARAMETERS angstrom
3.528 0.000 0.000
0.000 3.528 0.000
0.000 0.000 7.572
ATOMIC_POSITIONS angstrom
Y 0.000 0.000 0.000
Er 0.000 0.000 4.305
Tl 1.764 1.764 2.172
Rh 1.764 1.764 5.873
! DOS(E_F)   1.44 states/eV per cell
! ΔH_f (0 K)   -0.63 eV per atom

---

Entry 12:
! MnCBr2Cl (GGA-PBE, relaxed); values from VASP
&SYSTEM
  ibrav = 0, nat = 5, ntyp = 4
/
ATOMIC_SPECIES
Mn 54.94 Mn.upf
C 12.01 C.upf
Br 79.90 Br.upf
Cl 35.45 Cl.upf
CELL_PARAMETERS angstrom
5.972 0.000 0.000
0.000 5.972 0.000
0.000 0.000 3.447
ATOMIC_POSITIONS angstrom
Mn 0.000 0.000 0.000
C 2.986 2.986 0.000
Br 0.000 2.986 1.724
Br 2.986 0.000 1.724
Cl 2.986 2.986 1.724
! DFT total energy   -0.193 Ry per atom
! DOS(E_F)   12.23 states/eV per cell